Ba8Sr6Ac: relaxed, GGA-PBE.

abc: 11.789 11.789 7.361
angles: 90.00 90.00 120.00
Positions (direct):
Ba (0.046, 0.267, 0.283)
Ba (0.221, 0.954, 0.283)
Ba (0.267, 0.221, 0.717)
Ba (0.333, 0.667, 0.289)
Ba (0.667, 0.333, 0.711)
Ba (0.733, 0.779, 0.283)
Ba (0.779, 0.046, 0.717)
Ba (0.954, 0.733, 0.717)
Sr (0.097, 0.462, 0.782)
Sr (0.366, 0.903, 0.782)
Sr (0.462, 0.366, 0.218)
Sr (0.538, 0.634, 0.782)
Sr (0.634, 0.097, 0.218)
Sr (0.903, 0.538, 0.218)
Ac (0.000, 0.000, 0.000)

DOS(E_F) ... 1.55 states/eV per atom
Space-group type ... P-3 (147)
Formation enthalpy at 0 K ... 209 kJ/mol of formula units